1.
Computed, not measured: a geometry-optimized KNa2TlNi structure at the GGA-PBE level of DFT.

a b c (Å): 5.5983 5.5983 5.0564
angles (deg): 90.00 90.00 90.00
With the nearest neighbours (Å) after each atom.
Fractional coordinates of all 5 atoms:
Ni: 0.0000 0.0000 0.0000  2 Tl 2.53, 4 Na 2.80
Tl: 0.0000 0.0000 0.5000  2 Ni 2.53
K: 0.5000 0.5000 0.5000  8 Na 3.77, 4 Tl 3.96
Na: 0.0000 0.5000 0.0000  2 Ni 2.80
Na: 0.5000 0.0000 0.0000  2 Ni 2.80

## Properties
For the density of states at the Fermi level, the calculation gives 2.19 states/eV per cell. Its energy of formation is 0.13 eV/atom.

=====

2.
Computed, not measured: a geometry-optimized Mn3PbAu structure at the GGA-PBE level of DFT.

a b c (Å): 4.9653 4.9653 4.9653
angles (deg): 90.00 90.00 90.00
With the nearest neighbours (Å) after each atom.
Fractional coordinates of all 5 atoms:
Pb: 0.5000 0.5000 0.5000  12 Mn 3.51
Mn: 0.0000 0.5000 0.0000  2 Au 2.48
Mn: 0.0000 0.0000 0.5000  2 Au 2.48
Mn: 0.5000 0.0000 0.0000  2 Au 2.48
Au: 0.0000 0.0000 0.0000  6 Mn 2.48

## Properties
As for the excess energy over the best structure of this formula in the dataset: 0.0000 eV per atom. For the density of states at the Fermi level, the calculation gives 5.33 states/eV per cell. Its energy of formation is 0.75 eV/atom.

=====

3.
Computed, not measured: a geometry-optimized BaBeBr2 structure at the GGA-PBE level of DFT.

a b c (Å): 5.2487 8.6215 4.3961
angles (deg): 59.44 89.93 127.47
With the nearest neighbours (Å) after each atom.
Fractional coordinates of all 4 atoms:
Be: 0.5000 0.0000 0.5000  8 Br 3.42-3.43, 4 Ba 3.71
Ba: 0.5000 0.5000 0.0000  8 Br 3.42-3.43, 4 Be 3.71
Br: 0.0000 0.0000 0.0000  4 Ba 3.42-3.43, 4 Be 3.42-3.43, 4 Br 3.71
Br: 0.0000 0.5000 0.5000  4 Be 3.42-3.43, 4 Ba 3.42-3.43, 4 Br 3.71

## Properties
As for the excess energy over the best structure of this formula in the dataset: 0.1817 eV per atom. For the density of states at the Fermi level, the calculation gives 0.00 states/eV per cell. The energy relative to the elements, uncorrected comes out at -0.69 eV per atom.

=====

4.
Computed, not measured: a geometry-optimized TbHo3Sc structure at the GGA-PBE level of DFT.

a b c (Å): 3.4897 3.4897 14.2445
angles (deg): 82.96 82.96 60.00
With the nearest neighbours (Å) after each atom.
Fractional coordinates of all 5 atoms:
Tb: 0.8345 0.8345 0.4965  6 Tb 3.49, 6 Ho 3.52-3.55
Ho: 0.2369 0.2369 0.2894  3 Sc 3.37, 6 Ho 3.49, 3 Tb 3.55
Ho: 0.0311 0.0311 0.9066  3 Sc 3.37, 9 Ho 3.49-3.53
Ho: 0.4329 0.4329 0.7014  9 Ho 3.49-3.53, 3 Tb 3.52
Sc: 0.6340 0.6340 0.0981  6 Ho 3.37, 6 Sc 3.49

## Properties
For the density of states at the Fermi level, the calculation gives 7.11 states/eV per cell. Its energy of formation is 0.04 eV/atom.

=====

no.,total DFT energy (no corrections) (eV per atom)
1,-2.25
2,-6.15
3,-2.94
4,-4.90